Tb2PmDyP4 | PBE | optimized geometry

POSCAR file:
```
Tb2PmDyP4
1.0
-0.7661 -2.8904 2.7332
6.8829 -0.8259 1.0559
-2.4781 4.8421 4.4260
Tb Pm Dy P
2 1 1 4
direct
0.5000 0.0000 0.5000 Tb
0.0000 0.5000 0.5000 Tb
0.5000 0.5000 0.0000 Pm
0.0000 0.0000 0.0000 Dy
0.5000 0.2470 0.2512 P
0.5000 0.7530 0.7488 P
0.0000 0.2454 0.7462 P
0.0000 0.7546 0.2538 P
```

Computed properties:
* DFT total energy: -53.0 eV per cell
* ΔE_f: -12.77 eV/f.u.

Tb2PmDy3P6 | PBE | optimized geometry

POSCAR file:
```
Tb2PmDy3P6
1.0
-3.1101 6.2582 0.0813
0.5761 -3.5373 -6.0000
-4.9611 -3.8059 3.1232
Tb Pm Dy P
2 1 3 6
direct
0.3332 0.6668 0.0000 Tb
0.6668 0.3332 0.0000 Tb
0.0000 0.0000 0.0000 Pm
0.1661 0.8339 0.5000 Dy
0.8339 0.1661 0.5000 Dy
0.5000 0.5000 0.5000 Dy
0.9155 0.5789 0.7466 P
0.7477 0.7477 0.2532 P
0.0845 0.4211 0.2534 P
0.5789 0.9155 0.7466 P
0.2523 0.2523 0.7468 P
0.4211 0.0845 0.2534 P
```

Computed properties:
* DFT total energy: -79.5 eV per cell
* ΔE_f: -19.23 eV/f.u.

PmDyTeP | PBE | optimized geometry

POSCAR file:
```
PmDyTeP
1.0
-0.5074 1.6941 -3.7250
-2.6365 -2.8768 1.3328
-3.0131 5.0794 5.0025
Pm Dy Te P
1 1 1 1
direct
0.1088 0.9524 0.0765 Pm
0.4960 0.1459 0.6572 Dy
0.9728 0.3844 0.3723 Te
0.3003 0.5481 0.8637 P
```

Computed properties:
* DFT total energy: -24.0 eV per cell

PmDy2Th3P6 | PBE | optimized geometry

POSCAR file:
```
PmDy2Th3P6
1.0
7.1126 0.0040 0.0008
-3.5511 6.1626 0.0008
-1.1873 -2.0558 6.6534
Pm Dy Th P
1 2 3 6
direct
0.0000 0.0000 0.0000 Pm
0.3330 0.6670 0.0000 Dy
0.6670 0.3330 0.0000 Dy
0.1659 0.8341 0.5000 Th
0.8341 0.1659 0.5000 Th
0.5000 0.5000 0.5000 Th
0.9179 0.5803 0.7538 P
0.7440 0.7440 0.2453 P
0.0821 0.4197 0.2462 P
0.5803 0.9179 0.7538 P
0.2560 0.2560 0.7547 P
0.4197 0.0821 0.2462 P
```

Computed properties:
* DFT total energy: -87.6 eV per cell
* ΔE_f: -18.98 eV/f.u.

Pm2DyThP4 | PBE | optimized geometry

POSCAR file:
```
Pm2DyThP4
1.0
4.1103 0.0000 0.0000
0.0000 7.0960 0.1210
0.0000 -2.4830 6.6706
Pm Dy Th P
2 1 1 4
direct
0.5000 0.0000 0.5000 Pm
0.0000 0.5000 0.5000 Pm
0.0000 0.0000 0.0000 Dy
0.5000 0.5000 0.0000 Th
0.5000 0.2458 0.2438 P
0.5000 0.7542 0.7562 P
0.0000 0.2485 0.7537 P
0.0000 0.7515 0.2463 P
```

Computed properties:
* DFT total energy: -55.9 eV per cell
* ΔE_f: -12.76 eV/f.u.

PmDyTh2P4 | PBE | optimized geometry

POSCAR file:
```
PmDyTh2P4
1.0
-3.3008 0.2657 2.4468
-1.1590 -6.9460 -0.8091
3.4695 -3.6185 5.0736
Pm Dy Th P
1 1 2 4
direct
0.5000 0.5000 0.0000 Pm
0.0000 0.5000 0.5000 Dy
0.0000 0.0000 0.0000 Th
0.5000 0.0000 0.5000 Th
0.0000 0.7488 0.7472 P
0.0000 0.2512 0.2528 P
0.5000 0.7462 0.2546 P
0.5000 0.2538 0.7454 P
```

Computed properties:
* DFT total energy: -58.5 eV per cell
* ΔE_f: -12.62 eV/f.u.

Pm2DyTmP4 | PBE | optimized geometry

POSCAR file:
```
Pm2DyTmP4
1.0
-1.0443 1.8830 3.4394
3.9321 -4.5196 3.6682
3.9029 5.5354 -1.8455
Pm Dy Tm P
2 1 1 4
direct
0.5000 0.0000 0.5000 Pm
0.0000 0.5000 0.5000 Pm
0.0000 0.0000 0.0000 Dy
0.5000 0.5000 0.0000 Tm
0.5000 0.2487 0.2412 P
0.5000 0.7513 0.7588 P
0.0000 0.2549 0.7599 P
0.0000 0.7451 0.2401 P
```

Computed properties:
* DFT total energy: -52.9 eV per cell
* ΔE_f: -12.64 eV/f.u.

PmDyTm2P4 | PBE | optimized geometry

POSCAR file:
```
PmDyTm2P4
1.0
-3.3085 -2.1897 0.5956
2.2315 -4.6395 -4.6615
2.3029 -1.7640 6.3068
Pm Dy Tm P
1 1 2 4
direct
0.5000 0.5000 0.0000 Pm
0.0000 0.0000 0.0000 Dy
0.5000 0.0000 0.5000 Tm
0.0000 0.5000 0.5000 Tm
0.5000 0.2487 0.2561 P
0.5000 0.7513 0.7439 P
0.0000 0.2437 0.7412 P
0.0000 0.7563 0.2588 P
```

Computed properties:
* DFT total energy: -52.7 eV per cell
* ΔE_f: -12.72 eV/f.u.

Pm2DyUP4 | PBE | optimized geometry

POSCAR file:
```
Pm2DyUP4
1.0
-0.3293 -2.2194 -3.3503
-2.0367 -5.4838 3.8330
-5.6453 3.7077 -1.9013
Pm Dy U P
2 1 1 4
direct
0.5000 0.0000 0.5000 Pm
0.0000 0.5000 0.5000 Pm
0.5000 0.5000 0.0000 Dy
0.0000 0.0000 0.0000 U
0.5000 0.2414 0.2361 P
0.5000 0.7586 0.7639 P
0.0000 0.2477 0.7629 P
0.0000 0.7523 0.2371 P
```

Computed properties:
* DFT total energy: -58.5 eV per cell
* ΔE_f: -11.42 eV/f.u.

Pm2DyYP4 | PBE | optimized geometry

POSCAR file:
```
Pm2DyYP4
1.0
-3.6064 1.8855 0.1881
-3.2212 -6.2327 0.7168
1.6569 2.5342 6.3649
Pm Dy Y P
2 1 1 4
direct
0.5000 0.0000 0.5000 Pm
0.0000 0.5000 0.5000 Pm
0.5000 0.5000 0.0000 Dy
0.0000 0.0000 0.0000 Y
0.5000 0.2480 0.2429 P
0.5000 0.7520 0.7571 P
0.0000 0.2528 0.7572 P
0.0000 0.7472 0.2428 P
```

Computed properties:
* DFT total energy: -54.9 eV per cell
* ΔE_f: -12.71 eV/f.u.

PmDy3Y2P6 | PBE | optimized geometry

POSCAR file:
```
PmDy3Y2P6
1.0
6.9807 -0.0007 0.0010
-3.4893 6.0460 0.0010
-1.1639 -2.0154 6.5835
Pm Dy Y P
1 3 2 6
direct
0.0000 0.0000 0.0000 Pm
0.1659 0.8340 0.5000 Dy
0.8340 0.1659 0.5000 Dy
0.5000 0.5000 0.5000 Dy
0.3331 0.6669 0.0000 Y
0.6669 0.3331 0.0000 Y
0.9156 0.5786 0.7469 P
0.7472 0.7472 0.2526 P
0.0844 0.4214 0.2531 P
0.5786 0.9156 0.7469 P
0.2528 0.2528 0.7474 P
0.4214 0.0844 0.2531 P
```

Computed properties:
* DFT total energy: -83.2 eV per cell
* ΔE_f: -19.29 eV/f.u.

PmDy2YP4 | PBE | optimized geometry

POSCAR file:
```
PmDy2YP4
1.0
-0.1550 -4.0300 0.2761
6.7887 -0.1454 1.6883
-3.8402 0.5467 5.8239
Pm Dy Y P
1 2 1 4
direct
0.5000 0.5000 0.0000 Pm
0.5000 0.0000 0.5000 Dy
0.0000 0.5000 0.5000 Dy
0.0000 0.0000 0.0000 Y
0.5000 0.2479 0.2529 P
0.5000 0.7521 0.7471 P
0.0000 0.2452 0.7446 P
0.0000 0.7548 0.2554 P
```

Computed properties:
* DFT total energy: -54.9 eV per cell
* ΔE_f: -12.81 eV/f.u.